! CoCuBr2 GGA-PBE optimized geometry; values from VASP
&SYSTEM
  ibrav = 0, nat = 4, ntyp = 3
/
ATOMIC_SPECIES
Co 58.93 Co.upf
Cu 63.55 Cu.upf
Br 79.90 Br.upf
CELL_PARAMETERS angstrom
0.0000 3.4139 3.4139
3.4139 0.0000 3.4139
3.4139 3.4139 0.0000
ATOMIC_POSITIONS angstrom
Co 0.0000 0.0000 0.0000
Cu 1.7069 1.7069 1.7069
Br 3.4139 3.4139 3.4139
Br 5.1208 5.1208 5.1208
! Total magnetization ... 2.16 μB per formula unit
! Space-group type ... F-43m (216)
! Uncorrected formation energy ... 86.7 kJ per mole of atoms
! D(E_F) ... 0.75 states/eV/atom